(1)
{"formula": "Y2SiPd", "functional": "PBE", "state": "relaxed", "dft_energy_ev_per_cell": -26.951, "spacegroup": "Amm2 (38)", "lattice_angstrom": [[4.1878, 0.0000, 0.0000], [0.0000, 1.9957, 5.3914], [0.0000, -1.9957, 5.3914]], "species": ["Y", "Y", "Si", "Pd"], "fractional_positions": [[0.0000, 0.0000, 0.0000], [0.5000, 0.2813, 0.2813], [0.5000, 0.5623, 0.5623], [0.0000, 0.7142, 0.7142]]}



(2)
{"formula": "Ba2ScNi", "functional": "PBE", "state": "relaxed", "dft_energy_ev_per_cell": -13.600, "e_above_lowest_polymorph_mev_per_atom": 0, "spacegroup": "F-43m (216)", "lattice_angstrom": [[0.0000, 3.9113, 3.9113], [3.9113, 0.0000, 3.9113], [3.9113, 3.9113, 0.0000]], "species": ["Ba", "Ba", "Sc", "Ni"], "fractional_positions": [[0.0000, 0.0000, 0.0000], [0.2500, 0.2500, 0.2500], [0.7500, 0.7500, 0.7500], [0.5000, 0.5000, 0.5000]]}



(3)
{"formula": "NaNiAs2Ir", "functional": "PBE", "state": "relaxed", "dft_energy_ev_per_cell": -26.652, "spacegroup": "I-4m2 (119)", "lattice_angstrom": [[-1.9968, 1.9968, 5.9148], [1.9968, -1.9968, 5.9148], [1.9968, 1.9968, -5.9148]], "species": ["Na", "Ni", "As", "As", "Ir"], "fractional_positions": [[0.0000, 0.0000, 0.0000], [0.7500, 0.2500, 0.5000], [0.3664, 0.3664, 0.0000], [0.6336, 0.6336, 0.0000], [0.2500, 0.7500, 0.5000]]}



(4)
{"formula": "YCoBOs", "functional": "PBE", "state": "relaxed", "dft_energy_ev_per_cell": -28.618, "e_above_lowest_polymorph_mev_per_atom": 0, "spacegroup": "F-43m (216)", "lattice_angstrom": [[0.0000, 3.0404, 3.0404], [3.0404, 0.0000, 3.0404], [3.0404, 3.0404, 0.0000]], "species": ["Y", "Co", "B", "Os"], "fractional_positions": [[0.0000, 0.0000, 0.0000], [0.7500, 0.7500, 0.7500], [0.5000, 0.5000, 0.5000], [0.2500, 0.2500, 0.2500]]}



Looking at total magnetic moment for the records above, in order, we have 0.0; 0.0; 0.0; 0.0 μB/f.u..